First-principles (GGA-PBE) data for a relaxed Cs6RbHgF crystal, as listed in Alexandria via LeMat-Bulk.

```
Cs6RbHgF
1.0
4.7950 -8.3119 0.0000
4.7950 8.3119 0.0000
-0.0057 0.0000 8.9690
Cs Rb Hg F
6 1 1 1
Cartesian
1.0498 0.0000 2.5934
2.5917 2.6754 6.3763
6.9925 2.6754 2.5927
3.2496 -3.8166 6.3763
6.3347 -3.8166 2.5927
8.5345 0.0000 6.3756
4.7950 -0.3816 0.0000
4.7921 5.1624 4.4845
4.7921 -5.9209 4.4845
```

Values from the calculation:
E ... -13.2 eV for the cell shown
Magnetization ... 0.0 Bohr magnetons per cell
Space group ... C2